1.
First-principles (PBE-GGA) data for a geometry-optimized Zn4Ni3 structure, as listed in Alexandria via LeMat-Bulk.

Cell: 4.8164 4.8164 4.5829 Å, 90.00 90.00 120.00°
Positions (direct):
Ni1 0.0000 0.5000 0.0000
Zn1 0.0000 0.0000 0.7517
Ni2 0.5000 0.5000 0.0000
Zn2 0.3333 0.6667 0.5000
Zn3 0.0000 0.0000 0.2483
Ni3 0.5000 0.0000 0.0000
Zn4 0.6667 0.3333 0.5000

* size of the total moment: 0.00 μB/atom
* space-group type: P6/mmm (191)
* relative energy among the computed polymorphs: 102 meV/atom
* energy of formation from the pure elements: -0.055 eV/atom


2.
First-principles (PBE-GGA) data for a geometry-optimized UTl2I5 structure, as listed in Alexandria via LeMat-Bulk.

Cell: 9.2160 9.7929 14.4541 Å, 90.00 90.00 90.00°
Positions (direct):
I1 0.6266 0.2500 0.6825
I2 0.3364 0.2500 0.2908
I3 0.1636 0.2500 0.7908
I4 0.8364 0.7500 0.2092
Tl1 0.5547 0.9998 0.1737
Tl2 0.5547 0.5002 0.1737
I5 0.5696 0.7500 0.9952
I6 0.6681 0.0445 0.4205
Tl3 0.9453 0.9998 0.6737
U1 0.4252 0.2500 0.5030
I7 0.8319 0.0445 0.9205
I8 0.6681 0.4555 0.4205
I9 0.9304 0.7500 0.4952
I10 0.8319 0.4555 0.9205
Tl4 0.4453 0.4998 0.8263
Tl5 0.4453 0.0001 0.8263
I11 0.6636 0.7500 0.7092
I12 0.4304 0.2500 0.0048
I13 0.3319 0.5445 0.5795
Tl6 0.9453 0.5002 0.6737
I14 0.1681 0.5445 0.0795
I15 0.8734 0.2500 0.1825
U2 0.9252 0.7500 0.9970
U3 0.0748 0.2500 0.0030
I16 0.3319 0.9555 0.5795
I17 0.1266 0.7500 0.8175
I18 0.1681 0.9555 0.0795
U4 0.5748 0.7500 0.4970
I19 0.0696 0.2500 0.5048
I20 0.3734 0.7500 0.3175
Tl7 0.0547 0.4998 0.3263
Tl8 0.0547 0.0001 0.3263

* formation energy (no corrections): -0.737 eV/atom
* size of the total moment: 0.37 μB/atom
* space-group type: Pnma (62)


3.
First-principles (PBE-GGA) data for a geometry-optimized Ce4GeIr structure, as listed in Alexandria via LeMat-Bulk.

Cell: 5.0342 6.5602 10.0102 Å, 90.00 120.30 90.00°
Positions (direct):
Ce1 0.0229 0.5362 0.7735
Ge1 0.6658 0.7500 0.9158
Ge2 0.3342 0.2500 0.0842
Ce2 0.0229 0.9638 0.7735
Ce3 0.9771 0.4638 0.2265
Ce4 0.3686 0.7500 0.1180
Ir1 0.3166 0.2500 0.5658
Ce5 0.2977 0.7500 0.5484
Ir2 0.6834 0.7500 0.4342
Ce6 0.7023 0.2500 0.4516
Ce7 0.6314 0.2500 0.8820
Ce8 0.9771 0.0362 0.2265

* size of the total moment: 0.31 μB/atom
* space-group type: P2_1/m (11)
* relative energy among the computed polymorphs: 0 meV/atom
* energy of formation from the pure elements: -0.509 eV/atom


4.
First-principles (PBE-GGA) data for a geometry-optimized Ni2SbBr structure, as listed in Alexandria via LeMat-Bulk.

Cell: 3.5123 3.5123 6.9915 Å, 75.52 75.52 60.09°
Positions (direct):
Sb1 0.7500 0.7500 0.7500
Ni1 0.0041 0.0041 0.9883
Ni2 0.4959 0.4959 0.5117
Br1 0.2500 0.2500 0.2500

* formation energy (no corrections): 0.062 eV/atom
* size of the total moment: 0.00 μB/atom
* space-group type: C2/m (12)
* relative energy among the computed polymorphs: 87 meV/atom


Which of these has the highest size of the total moment?
UTl2I5